Record 1
Here is a relaxed structure of MgC3Br from Alexandria. Energies are from PBE.

Cell lengths 4.063, 4.063, 4.063 Å; angles 90.00, 90.00, 90.00 degrees
Element x y z (fractional)
1 Mg 0.500 0.500 0.500
2 C 0.000 0.500 0.000
3 C 0.000 0.000 0.500
4 C 0.500 0.000 0.000
5 Br 0.000 0.000 0.000

Results
**Total magnetic moment**: 0.0000 μB per atom
**Energy above the lowest structure with this stoichiometry**: 0.000 eV per atom
**Total DFT energy (no corrections)**: -3.02 eV/atom
**Energy relative to the elements, uncorrected**: 3168 meV/atom

Record 2
Here is a relaxed structure of Cd2MoRu from Alexandria. Energies are from PBE.

Cell lengths 2.788, 2.788, 9.167 Å; angles 90.00, 90.00, 101.12 degrees
Element x y z (fractional)
1 Cd 0.000 0.000 0.993
2 Cd 0.000 0.000 0.507
3 Mo 0.500 0.500 0.250
4 Ru 0.500 0.500 0.750

Results
**Total magnetic moment**: 0.3778 μB per atom
**Energy above the lowest structure with this stoichiometry**: 0.379 eV per atom
**Formation energy from the elements**: 0.498 eV per atom
**Total DFT energy (no corrections)**: -4.99 eV/atom

Record 3
Here is a relaxed structure of MnMo2PdN from Alexandria. Energies are from PBE.

Cell lengths 4.102, 4.102, 3.833 Å; angles 90.00, 90.00, 90.00 degrees
Element x y z (fractional)
1 Mo 0.000 0.500 0.000
2 Mo 0.500 0.000 0.000
3 Mn 0.000 0.000 0.500
4 Pd 0.500 0.500 0.500
5 N 0.000 0.000 0.000

Results
**Total magnetic moment**: 0.0000 μB per atom
**Total DFT energy (no corrections)**: -8.98 eV/atom
**Energy relative to the elements, uncorrected**: -106 meV/atom

Record 4
Here is a relaxed structure of Th5Re2Pd2 from Alexandria. Energies are from PBE.

Cell lengths 7.866, 7.848, 8.385 Å; angles 90.00, 62.03, 90.00 degrees
Element x y z (fractional)
1 Th 0.000 0.000 0.000
2 Th 0.500 0.500 0.000
3 Th 0.460 0.164 0.740
4 Th 0.800 0.836 0.740
5 Th 0.300 0.664 0.740
6 Th 0.960 0.336 0.740
7 Th 0.540 0.836 0.260
8 Th 0.200 0.164 0.260
9 Th 0.700 0.336 0.260
10 Th 0.040 0.664 0.260
11 Re 0.133 0.367 0.000
12 Re 0.867 0.633 0.000
13 Re 0.367 0.867 0.000
14 Re 0.633 0.133 0.000
15 Pd 0.212 0.000 0.576
16 Pd 0.712 0.500 0.576
17 Pd 0.788 0.000 0.424
18 Pd 0.288 0.500 0.424

Results
**Total magnetic moment**: 0.0000 μB per atom
**Formation energy from the elements**: -0.327 eV per atom
**Total DFT energy (no corrections)**: -8.37 eV/atom

Record 5
Here is a relaxed structure of ZnHgAs2 from Alexandria. Energies are from PBE.

Cell lengths 3.855, 3.006, 8.039 Å; angles 89.27, 90.00, 90.00 degrees
Element x y z (fractional)
1 As 0.000 0.244 0.912
2 As 0.000 0.256 0.588
3 Hg 0.500 0.250 0.250
4 Zn 0.500 0.750 0.750

Results
**Total magnetic moment**: 0.0000 μB per atom
**Energy above the lowest structure with this stoichiometry**: 0.105 eV per atom
**Formation energy from the elements**: 0.183 eV per atom
**Total DFT energy (no corrections)**: -2.54 eV/atom

Record 6
Here is a relaxed structure of NdZnPb2 from Alexandria. Energies are from PBE.

Cell lengths 4.900, 4.900, 6.053 Å; angles 66.12, 66.12, 60.00 degrees
Element x y z (fractional)
1 Pb 0.771 0.771 0.686
2 Pb 0.229 0.229 0.314
3 Zn 0.500 0.500 0.500
4 Nd 0.000 0.000 0.000

Results
**Total magnetic moment**: 0.0000 μB per atom
**Energy above the lowest structure with this stoichiometry**: 0.199 eV per atom
**Formation energy from the elements**: -0.119 eV per atom
**Total DFT energy (no corrections)**: -3.48 eV/atom

Record 7
Here is a relaxed structure of U2BiN2 from Alexandria. Energies are from PBE.

Cell lengths 6.113, 6.113, 6.113 Å; angles 135.95, 135.95, 64.05 degrees
Element x y z (fractional)
1 U 0.750 0.250 0.500
2 U 0.250 0.750 0.500
3 Bi 0.000 0.000 0.000
4 N 0.725 0.725 0.000
5 N 0.275 0.275 0.000

Results
**Total magnetic moment**: 0.6680 μB per atom
**Energy above the lowest structure with this stoichiometry**: 0.574 eV per atom
**Total DFT energy (no corrections)**: -9.17 eV/atom
**Energy relative to the elements, uncorrected**: -545 meV/atom

Record 8
Here is a relaxed structure of Rb3Hg12Sb5 from Alexandria. Energies are from PBE.

Cell lengths 16.299, 16.299, 16.299 Å; angles 109.47, 109.47, 109.47 degrees
Element x y z (fractional)
1 Rb 0.750 0.375 0.125
2 Rb 0.875 0.750 0.125
3 Rb 0.375 0.750 0.625
4 Rb 0.250 0.125 0.375
5 Rb 0.875 0.125 0.250
6 Rb 0.375 0.625 0.250
7 Rb 0.625 0.375 0.750
8 Rb 0.125 0.875 0.750
9 Rb 0.750 0.875 0.625
10 Rb 0.625 0.250 0.375
11 Rb 0.125 0.250 0.875
12 Rb 0.250 0.625 0.875
13 Sb 0.125 0.375 0.250
14 Sb 0.000 0.500 0.000
15 Sb 0.000 0.000 0.000
16 Sb 0.375 0.250 0.125
17 Sb 0.500 0.000 0.500
18 Sb 0.500 0.500 0.000
19 Sb 0.125 0.750 0.375
20 Sb 0.750 0.125 0.875
21 Sb 0.750 0.625 0.375
22 Sb 0.375 0.125 0.750
23 Sb 0.625 0.875 0.250
24 Sb 0.500 0.500 0.500
25 Sb 0.500 0.000 0.000
26 Sb 0.000 0.000 0.500
27 Sb 0.250 0.375 0.625
28 Sb 0.250 0.875 0.125
29 Sb 0.000 0.500 0.500
30 Sb 0.875 0.250 0.625
31 Sb 0.625 0.750 0.875
32 Sb 0.875 0.625 0.750
33 Hg 0.690 0.051 0.995
34 Hg 0.306 0.495 0.444
35 Hg 0.005 0.449 0.310
36 Hg 0.495 0.190 0.051
37 Hg 0.638 0.690 0.694
38 Hg 0.005 0.556 0.194
39 Hg 0.306 0.810 0.362
40 Hg 0.056 0.862 0.051
41 Hg 0.556 0.005 0.694
42 Hg 0.690 0.638 0.194
43 Hg 0.810 0.505 0.449
44 Hg 0.806 0.944 0.995
45 Hg 0.051 0.690 0.495
46 Hg 0.449 0.444 0.138
47 Hg 0.138 0.944 0.449
48 Hg 0.362 0.051 0.556
49 Hg 0.138 0.194 0.190
50 Hg 0.505 0.694 0.056
51 Hg 0.806 0.862 0.310
52 Hg 0.051 0.362 0.056
53 Hg 0.449 0.005 0.810
54 Hg 0.556 0.551 0.362
55 Hg 0.944 0.806 0.495
56 Hg 0.810 0.306 0.862
57 Hg 0.444 0.449 0.638
58 Hg 0.056 0.194 0.505
59 Hg 0.190 0.694 0.138
60 Hg 0.194 0.138 0.690
61 Hg 0.551 0.995 0.190
62 Hg 0.949 0.638 0.944
63 Hg 0.495 0.306 0.944
64 Hg 0.638 0.949 0.444
65 Hg 0.862 0.806 0.810
66 Hg 0.862 0.056 0.551
67 Hg 0.949 0.310 0.505
68 Hg 0.194 0.056 0.005
69 Hg 0.551 0.556 0.862
70 Hg 0.444 0.995 0.306
71 Hg 0.310 0.362 0.806
72 Hg 0.190 0.495 0.551
73 Hg 0.944 0.138 0.949
74 Hg 0.694 0.190 0.638
75 Hg 0.505 0.810 0.949
76 Hg 0.995 0.444 0.806
77 Hg 0.362 0.310 0.306
78 Hg 0.995 0.551 0.690
79 Hg 0.694 0.505 0.556
80 Hg 0.310 0.949 0.005

Results
**Total magnetic moment**: 0.0000 μB per atom
**Total DFT energy (no corrections)**: -1.35 eV/atom
**Energy relative to the elements, uncorrected**: 9 meV/atom

Record 9
Here is a relaxed structure of Y2HoSn9 from Alexandria. Energies are from PBE.

Cell lengths 4.796, 4.796, 13.688 Å; angles 90.00, 90.00, 90.00 degrees
Element x y z (fractional)
1 Y 0.000 0.000 0.333
2 Y 0.000 0.000 0.667
3 Ho 0.000 0.000 0.000
4 Sn 0.500 0.500 0.000
5 Sn 0.500 0.500 0.333
6 Sn 0.500 0.500 0.667
7 Sn 0.500 0.000 0.166
8 Sn 0.500 0.000 0.500
9 Sn 0.500 0.000 0.834
10 Sn 0.000 0.500 0.166
11 Sn 0.000 0.500 0.500
12 Sn 0.000 0.500 0.834

Results
**Total magnetic moment**: 0.0000 μB per atom
**Formation energy from the elements**: -0.422 eV per atom
**Total DFT energy (no corrections)**: -4.88 eV/atom

Record 10
Here is a relaxed structure of ZrNbAsSe2 from Alexandria. Energies are from PBE.

Cell lengths 4.966, 4.966, 5.006 Å; angles 90.00, 90.00, 90.00 degrees
Element x y z (fractional)
1 As 0.000 0.000 0.500
2 Nb 0.000 0.000 0.000
3 Se 0.000 0.500 0.000
4 Se 0.500 0.000 0.000
5 Zr 0.500 0.500 0.500

Results
**Total magnetic moment**: 0.2589 μB per atom
**Energy above the lowest structure with this stoichiometry**: 0.000 eV per atom
**Total DFT energy (no corrections)**: -5.94 eV/atom
**Energy relative to the elements, uncorrected**: 108 meV/atom

Record 11
Here is a relaxed structure of Ce5GaRu2 from Alexandria. Energies are from PBE.

Cell lengths 4.552, 5.788, 15.574 Å; angles 90.00, 90.00, 113.16 degrees
Element x y z (fractional)
1 Ce 0.896 0.792 0.928
2 Ce 0.896 0.792 0.572
3 Ce 0.428 0.857 0.391
4 Ce 0.428 0.857 0.109
5 Ce 0.707 0.415 0.250
6 Ce 0.293 0.585 0.750
7 Ce 0.572 0.143 0.609
8 Ce 0.572 0.143 0.891
9 Ce 0.104 0.208 0.072
10 Ce 0.104 0.208 0.428
11 Ga 0.003 0.006 0.750
12 Ga 0.997 0.994 0.250
13 Ru 0.758 0.516 0.413
14 Ru 0.758 0.516 0.087
15 Ru 0.242 0.484 0.587
16 Ru 0.242 0.484 0.913

Results
**Total magnetic moment**: 0.0002 μB per atom
**Formation energy from the elements**: -0.339 eV per atom
**Total DFT energy (no corrections)**: -6.74 eV/atom

Record 12
Here is a relaxed structure of Tc2AuBr from Alexandria. Energies are from PBE.

Cell lengths 8.799, 8.799, 8.799 Å; angles 19.45, 19.45, 19.45 degrees
Element x y z (fractional)
1 Au 0.250 0.250 0.250
2 Tc 0.003 0.003 0.003
3 Tc 0.497 0.497 0.497
4 Br 0.750 0.750 0.750

Results
**Total magnetic moment**: 0.2393 μB per atom
**Energy above the lowest structure with this stoichiometry**: 0.481 eV per atom
**Total DFT energy (no corrections)**: -5.66 eV/atom
**Energy relative to the elements, uncorrected**: 759 meV/atom